ScHg2Mo | PBE | optimized geometry

The spin magnetization is 0.00 μB/f.u. The energy relative to the elements is 167 meV per atom. The total energy comes out at -17.10 eV/cell.

Structure (POSCAR):
```
ScHg2Mo
1.0
1.919 -2.271 0.000
1.919 2.271 0.000
0.000 0.000 9.261
Sc Hg Mo
1 2 1
Direct
0.000 0.000 0.000
0.000 0.000 0.533
0.500 0.500 0.257
0.500 0.500 0.773
```